Record 1
The following is a DFT calculation (PBE-GGA) of a relaxed structure of TaCrTeN2.

total DFT energy (no corrections): -0.2653 Ha/atom
crystal system: tetragonal
energy above the lowest structure with this stoichiometry: 0.687 eV/atom

Unit cell a=3.855 b=3.855 c=5.370 alpha=90.00 beta=90.00 gamma=90.00
Space group P4/mmm (No. 123)
Symmetry-distinct sites (fractional):
Ta 0.000 0.000 0.000 x1
Cr 0.500 0.500 0.500 x1
Te 0.500 0.500 0.000 x1
N 0.000 0.500 0.500 x2

Record 2
The following is a DFT calculation (PBE-GGA) of a relaxed structure of Dy2TeF.

total DFT energy (no corrections): -0.1900 Ha/atom
crystal system: trigonal

Unit cell a=3.9359 b=3.9359 c=20.6008 alpha=90.00 beta=90.00 gamma=120.00
Space group R-3m (No. 166, hexagonal axes)
Symmetry-distinct sites (fractional):
Dy 0.0000 0.0000 0.2311 x6
Te 0.0000 0.0000 0.0000 x3
F 0.0000 0.0000 0.5000 x3